Material: AgWN3
Method: DFT, SCAN
State: single point on PBEsol structure

a = 3.952 Å, b = 3.952 Å, c = 3.952 Å
α = 90.00°, β = 90.00°, γ = 90.00°
Fractional coordinates of all 5 atoms:
Ag 0.000 0.000 0.000
W 0.500 0.500 0.500
N 0.000 0.500 0.500
N 0.500 0.000 0.500
N 0.500 0.500 0.000

Calculated values
The value obtained for the uncorrected formation energy is 591 meV per atom. The space group is Pm-3m.

---

Material: AgWN2
Method: DFT, SCAN
State: single point on PBEsol structure

a = 6.641 Å, b = 6.641 Å, c = 6.641 Å
α = 26.42°, β = 26.42°, γ = 26.42°
Fractional coordinates of all 4 atoms:
Ag 0.000 0.000 0.000
W 0.500 0.500 0.500
N 0.402 0.402 0.402
N 0.598 0.598 0.598

Calculated values
The value obtained for the uncorrected formation energy is 1206 meV per atom. The space group is R-3m.

---

Material: YAgN3
Method: DFT, SCAN
State: single point on PBEsol structure

a = 4.446 Å, b = 4.446 Å, c = 4.446 Å
α = 90.00°, β = 90.00°, γ = 90.00°
Fractional coordinates of all 5 atoms:
Y 0.000 0.000 0.000
Ag 0.500 0.500 0.500
N 0.000 0.000 0.500
N 0.000 0.500 0.000
N 0.500 0.000 0.000

Calculated values
The value obtained for the uncorrected formation energy is 1260 meV per atom. The space group is Pm-3m.

---

Material: Y3AgN
Method: DFT, SCAN
State: single point on PBEsol structure

a = 4.728 Å, b = 4.728 Å, c = 4.728 Å
α = 90.00°, β = 90.00°, γ = 90.00°
Fractional coordinates of all 5 atoms:
Y 0.000 0.000 0.500
Y 0.000 0.500 0.000
Y 0.500 0.000 0.000
Ag 0.500 0.500 0.500
N 0.000 0.000 0.000

Calculated values
The value obtained for the uncorrected formation energy is -925 meV per atom. The space group is Pm-3m.

---

Material: NaAg2
Method: DFT, SCAN
State: single point on PBEsol structure

a = 5.534 Å, b = 5.534 Å, c = 5.534 Å
α = 60.00°, β = 60.00°, γ = 60.00°
Fractional coordinates of all 6 atoms:
Na 0.125 0.125 0.125
Na 0.875 0.875 0.875
Ag 0.000 0.500 0.500
Ag 0.500 0.000 0.500
Ag 0.500 0.500 0.000
Ag 0.500 0.500 0.500

Calculated values
The calculation puts the formation energy at -80 meV per atom. The space group is Fd-3m.

---

Material: NaNbAg3
Method: DFT, SCAN
State: single point on PBEsol structure

a = 4.659 Å, b = 4.659 Å, c = 4.659 Å
α = 90.00°, β = 90.00°, γ = 90.00°
Fractional coordinates of all 5 atoms:
Na 0.000 0.000 0.000
Nb 0.500 0.500 0.500
Ag 0.000 0.000 0.500
Ag 0.000 0.500 0.000
Ag 0.500 0.000 0.000

Calculated values
The calculation puts the formation energy at 1169 meV per atom. The space group is Pm-3m.

---

Material: NaNb2AgSb
Method: DFT, SCAN
State: single point on PBEsol structure

a = 4.674 Å, b = 4.674 Å, c = 4.890 Å
α = 90.00°, β = 90.00°, γ = 90.00°
Fractional coordinates of all 5 atoms:
Na 0.000 0.000 0.000
Nb 0.000 0.500 0.000
Nb 0.500 0.000 0.000
Ag 0.500 0.500 0.500
Sb 0.000 0.000 0.500

Calculated values
The value obtained for the uncorrected formation energy is 1870 meV per atom. The space group is P4/mmm.

---

Material: NaAgO
Method: DFT, SCAN
State: single point on PBEsol structure

a = 7.012 Å, b = 7.012 Å, c = 7.012 Å
α = 96.27°, β = 96.27°, γ = 141.40°
Fractional coordinates of all 12 atoms:
Na 0.000 0.337 0.337
Na 0.000 0.663 0.663
Na 0.337 0.000 0.337
Na 0.663 0.000 0.663
Ag 0.342 0.342 0.684
Ag 0.342 0.658 0.000
Ag 0.658 0.342 0.000
Ag 0.658 0.658 0.316
O 0.191 0.500 0.691
O 0.500 0.191 0.691
O 0.500 0.809 0.309
O 0.809 0.500 0.309

Calculated values
The value obtained for the uncorrected formation energy is -924 meV per atom. The space group is I4/mmm.

---

Material: NaTc2AgO
Method: DFT, SCAN
State: single point on PBEsol structure

a = 3.937 Å, b = 3.937 Å, c = 4.568 Å
α = 90.00°, β = 90.00°, γ = 90.00°
Fractional coordinates of all 5 atoms:
Na 0.000 0.000 0.000
Tc 0.000 0.500 0.500
Tc 0.500 0.000 0.500
Ag 0.500 0.500 0.000
O 0.000 0.000 0.500

Calculated values
The value obtained for the uncorrected formation energy is 74 meV per atom. The space group is P4/mmm.

---

Material: NaAg2P
Method: DFT, SCAN
State: single point on PBEsol structure

a = 8.569 Å, b = 8.569 Å, c = 8.569 Å
α = 144.36°, β = 144.36°, γ = 51.29°
Fractional coordinates of all 8 atoms:
Na 0.000 0.000 0.000
Na 0.750 0.250 0.500
Ag 0.315 0.625 0.190
Ag 0.375 0.565 0.690
Ag 0.435 0.125 0.810
Ag 0.875 0.685 0.310
P 0.250 0.750 0.500
P 0.500 0.500 0.000

Calculated values
The calculation puts the formation energy at 4 meV per atom. The space group is I-42d.

---

Material: Na3AgP
Method: DFT, SCAN
State: single point on PBEsol structure

a = 5.296 Å, b = 5.296 Å, c = 5.296 Å
α = 90.00°, β = 90.00°, γ = 90.00°
Fractional coordinates of all 5 atoms:
Na 0.000 0.000 0.500
Na 0.000 0.500 0.000
Na 0.500 0.000 0.000
Ag 0.000 0.000 0.000
P 0.500 0.500 0.500

Calculated values
The calculation puts the formation energy at 365 meV per atom. The space group is Pm-3m.

---

Material: Na2AgP2
Method: DFT, SCAN
State: single point on PBEsol structure

a = 6.469 Å, b = 6.469 Å, c = 4.555 Å
α = 90.00°, β = 90.00°, γ = 90.00°
Fractional coordinates of all 10 atoms:
Na 0.178 0.322 0.000
Na 0.322 0.822 0.000
Na 0.678 0.178 0.000
Na 0.822 0.678 0.000
Ag 0.000 0.000 0.500
Ag 0.500 0.500 0.500
P 0.119 0.619 0.500
P 0.381 0.119 0.500
P 0.619 0.881 0.500
P 0.881 0.381 0.500

Calculated values
The calculation puts the formation energy at -333 meV per atom. The space group is P4/mbm.

---

Material: NaAg2P2
Method: DFT, SCAN
State: single point on PBEsol structure

a = 5.868 Å, b = 5.868 Å, c = 5.868 Å
α = 137.69°, β = 137.69°, γ = 61.37°
Fractional coordinates of all 5 atoms:
Na 0.000 0.000 0.000
Ag 0.250 0.750 0.500
Ag 0.750 0.250 0.500
P 0.393 0.393 0.000
P 0.607 0.607 0.000

Calculated values
The calculation puts the formation energy at -177 meV per atom. The space group is I4/mmm.

---

Material: Na2Ag2Pb
Method: DFT, SCAN
State: single point on PBEsol structure

a = 7.532 Å, b = 7.532 Å, c = 4.098 Å
α = 90.00°, β = 90.00°, γ = 90.00°
Fractional coordinates of all 10 atoms:
Na 0.168 0.332 0.000
Na 0.332 0.832 0.000
Na 0.668 0.168 0.000
Na 0.832 0.668 0.000
Ag 0.130 0.630 0.500
Ag 0.370 0.130 0.500
Ag 0.630 0.870 0.500
Ag 0.870 0.370 0.500
Pb 0.000 0.000 0.500
Pb 0.500 0.500 0.500

Calculated values
The calculation puts the formation energy at -49 meV per atom. The space group is P4/mbm.

---

Material: Na2AgPdPb
Method: DFT, SCAN
State: single point on PBEsol structure

a = 5.115 Å, b = 5.115 Å, c = 5.166 Å
α = 90.00°, β = 90.00°, γ = 90.00°
Fractional coordinates of all 5 atoms:
Na 0.000 0.500 0.000
Na 0.500 0.000 0.000
Ag 0.000 0.000 0.000
Pd 0.500 0.500 0.500
Pb 0.000 0.000 0.500

Calculated values
The calculation puts the formation energy at 396 meV per atom. The space group is P4/mmm.

---

Material: RbNaAg2Pb
Method: DFT, SCAN
State: single point on PBEsol structure

a = 5.383 Å, b = 5.383 Å, c = 6.488 Å
α = 90.00°, β = 90.00°, γ = 90.00°
Fractional coordinates of all 5 atoms:
Rb 0.000 0.000 0.000
Na 0.500 0.500 0.000
Ag 0.000 0.500 0.500
Ag 0.500 0.000 0.500
Pb 0.000 0.000 0.500

Calculated values
The calculation puts the formation energy at 327 meV per atom. The space group is P4/mmm.

---

Material: NaAgSbPb2
Method: DFT, SCAN
State: single point on PBEsol structure

a = 5.775 Å, b = 5.775 Å, c = 5.520 Å
α = 90.00°, β = 90.00°, γ = 90.00°
Fractional coordinates of all 5 atoms:
Na 0.000 0.000 0.000
Ag 0.500 0.500 0.000
Sb 0.000 0.000 0.500
Pb 0.000 0.500 0.500
Pb 0.500 0.000 0.500

Calculated values
The value obtained for the uncorrected formation energy is 546 meV per atom. The space group is P4/mmm.

---

Material: Na2ZnAgPb
Method: DFT, SCAN
State: single point on PBEsol structure

a = 5.252 Å, b = 5.252 Å, c = 4.794 Å
α = 90.00°, β = 90.00°, γ = 90.00°
Fractional coordinates of all 5 atoms:
Na 0.000 0.500 0.000
Na 0.500 0.000 0.000
Zn 0.000 0.000 0.000
Ag 0.000 0.000 0.500
Pb 0.500 0.500 0.500

Calculated values
The calculation puts the formation energy at 215 meV per atom. The space group is P4/mmm.

---

Material: NaAg2Pd2
Method: DFT, SCAN
State: single point on PBEsol structure

a = 7.938 Å, b = 7.938 Å, c = 2.790 Å
α = 90.00°, β = 90.00°, γ = 90.00°
Fractional coordinates of all 10 atoms:
Na 0.000 0.000 0.000
Na 0.500 0.500 0.000
Ag 0.128 0.372 0.000
Ag 0.372 0.872 0.000
Ag 0.628 0.128 0.000
Ag 0.872 0.628 0.000
Pd 0.167 0.667 0.500
Pd 0.333 0.167 0.500
Pd 0.667 0.833 0.500
Pd 0.833 0.333 0.500

Calculated values
The calculation puts the formation energy at -39 meV per atom. The space group is P4/mbm.

---

Material: Na2AgPdS
Method: DFT, SCAN
State: single point on PBEsol structure

a = 5.041 Å, b = 5.041 Å, c = 4.997 Å
α = 90.00°, β = 90.00°, γ = 90.00°
Fractional coordinates of all 5 atoms:
Na 0.000 0.500 0.000
Na 0.500 0.000 0.000
Ag 0.000 0.000 0.500
Pd 0.000 0.000 0.000
S 0.500 0.500 0.500

Calculated values
The value obtained for the uncorrected formation energy is 328 meV per atom. The space group is P4/mmm.

---

Number 1: calculated density 9.0 g/cm3. Number 2: calculated density 10.4 g/cm3. Number 3: calculated density 4.5 g/cm3. Number 4: calculated density 6.1 g/cm3. Number 5: calculated density 6.6 g/cm3. Number 6: calculated density 7.2 g/cm3. Number 7: calculated density 6.8 g/cm3. Number 8: calculated density 4.8 g/cm3. Number 9: calculated density 8.0 g/cm3. Number 10: calculated density 4.2 g/cm3. Number 11: calculated density 2.3 g/cm3. Number 12: calculated density 3.8 g/cm3. Number 13: calculated density 5.5 g/cm3. Number 14: calculated density 6.7 g/cm3. Number 15: calculated density 5.7 g/cm3. Number 16: calculated density 4.7 g/cm3. Number 17: calculated density 6.0 g/cm3. Number 18: calculated density 5.4 g/cm3. Number 19: calculated density 8.5 g/cm3. Number 20: calculated density 3.8 g/cm3.